[1]
Here is crystalline Fe3H3Pd at its relaxed geometry from Alexandria. Energies are from GGA-PBE.

Values from the calculation:
The value obtained for the raw total energy is -5.753 eV per atom.

Cell: 4.919 4.919 4.919 Å, 90.00 90.00 90.00°
Space group Pm-3n (No. 223)
Asymmetric unit:
Fe (0.000, 0.250, 0.500)
H (0.000, 0.500, 0.250)
Pd (0.000, 0.000, 0.000)



[2]
Here is crystalline FeH2Pd3 at its relaxed geometry from Alexandria. Energies are from GGA-PBE.

Values from the calculation:
The value obtained for the raw total energy is -5.168 eV per atom. As for the polymorph energy (0 for the lowest one): 0 meV/atom.

Cell: 10.413 2.822 9.692 Å, 90.00 117.01 90.00°
Space group C2/m (No. 12)
Asymmetric unit:
Fe (0.113, 0.000, 0.220)
H (0.232, 0.500, 0.361)
H (0.236, 0.500, 0.866)
Pd (0.117, 0.500, 0.976)
Pd (0.120, 0.500, 0.464)
Pd (0.133, 0.000, 0.725)



[3]
Here is crystalline Fe2H2Pd at its relaxed geometry from Alexandria. Energies are from GGA-PBE.

Values from the calculation:
The value obtained for the raw total energy is -5.531 eV per atom. As for the polymorph energy (0 for the lowest one): 0 meV/atom.

Cell: 3.218 3.218 7.941 Å, 90.00 90.00 90.00°
Space group I4/mmm (No. 139)
Asymmetric unit:
Fe (0.000, 0.000, 0.171)
H (0.000, 0.500, 0.250)
Pd (0.000, 0.000, 0.500)



[4]
Here is crystalline Fe3HPd at its relaxed geometry from Alexandria. Energies are from GGA-PBE.

Values from the calculation:
The value obtained for the raw total energy is -6.763 eV per atom. As for the polymorph energy (0 for the lowest one): 0 meV/atom.

Cell: 3.750 3.750 3.750 Å, 90.00 90.00 90.00°
Space group Pm-3m (No. 221)
Asymmetric unit:
Fe (0.000, 0.000, 0.500)
H (0.000, 0.000, 0.000)
Pd (0.500, 0.500, 0.500)



[5]
Here is crystalline FeHPd at its relaxed geometry from Alexandria. Energies are from GGA-PBE.

Values from the calculation:
The value obtained for the raw total energy is -5.645 eV per atom.

Cell: 9.299 2.750 4.872 Å, 90.00 102.20 90.00°
Space group C2/m (No. 12)
Asymmetric unit:
Fe (0.119, 0.000, 0.358)
H (0.186, 0.500, 0.565)
Pd (0.117, 0.500, 0.877)



[6]
Here is crystalline FeH3Pd at its relaxed geometry from Alexandria. Energies are from GGA-PBE.

Values from the calculation:
The value obtained for the raw total energy is -4.537 eV per atom. As for the polymorph energy (0 for the lowest one): 50 meV/atom.

Cell: 3.283 3.283 3.283 Å, 90.00 90.00 90.00°
Space group Pm-3m (No. 221)
Asymmetric unit:
Fe (0.000, 0.000, 0.000)
H (0.000, 0.000, 0.500)
Pd (0.500, 0.500, 0.500)



[7]
Here is crystalline FeHPd2 at its relaxed geometry from Alexandria. Energies are from GGA-PBE.

Values from the calculation:
The value obtained for the raw total energy is -5.554 eV per atom. As for the polymorph energy (0 for the lowest one): 44 meV/atom.

Cell: 2.8145 2.8145 20.1046 Å, 90.00 90.00 120.00°
Space group R-3m (No. 166, hexagonal axes)
Asymmetric unit:
Fe (0.0000, 0.0000, 0.0000)
H (0.0000, 0.0000, 0.5000)
Pd (0.0000, 0.0000, 0.2285)



[8]
Here is crystalline FeHPd2 at its relaxed geometry from Alexandria. Energies are from GGA-PBE.

Values from the calculation:
The value obtained for the raw total energy is -5.598 eV per atom. As for the polymorph energy (0 for the lowest one): 0 meV/atom.

Cell: 2.784 3.923 8.354 Å, 90.00 90.00 90.00°
Space group Immm (No. 71)
Asymmetric unit:
Fe (0.000, 0.000, 0.000)
H (0.000, 0.500, 0.000)
Pd (0.000, 0.000, 0.335)